a.
Material: LiVPO5
Method: DFT, PBE with a Hubbard U
State: relaxed

The crystal system is orthorhombic.

a = 6.0973 Å, b = 7.4714 Å, c = 10.0038 Å
α = 90.00°, β = 90.00°, γ = 90.00°
Closest atoms and distances in Å follow each position.
Sites, in units of the cell vectors:
Li 0.0534 0.0178 0.4230  4 O 1.96-2.14
Li 0.4466 0.9822 0.9230  4 O 1.96-2.14
Li 0.5534 0.4822 0.5770  4 O 1.96-2.14
Li 0.9466 0.5178 0.0770  4 O 1.96-2.14
V 0.0744 0.5478 0.5525  1 O 1.64
V 0.4256 0.4522 0.0525  1 O 1.64
V 0.5744 0.9522 0.4475  1 O 1.64
V 0.9256 0.0478 0.9475  1 O 1.64
P 0.2153 0.3575 0.8303  4 O 1.54-1.58
P 0.2847 0.6425 0.3303  4 O 1.54-1.58
P 0.7153 0.1425 0.1697  4 O 1.54-1.58
P 0.7847 0.8575 0.6697  4 O 1.54-1.58
O 0.0207 0.2277 0.8169  1 P 1.54
O 0.0818 0.7341 0.3997  1 P 1.58
O 0.1417 0.9205 0.9716  1 V 1.64
O 0.1687 0.5091 0.9350  1 P 1.57
O 0.2264 0.5657 0.1916  1 P 1.54
O 0.2736 0.4343 0.6916  1 P 1.54
O 0.3313 0.4909 0.4350  1 P 1.57
O 0.3583 0.0795 0.4716  1 V 1.64
O 0.4182 0.2659 0.8997  1 P 1.58
O 0.4793 0.7723 0.3169  1 P 1.54
O 0.5207 0.2723 0.1831  1 P 1.54
O 0.5818 0.7659 0.6003  1 P 1.58
O 0.6417 0.5795 0.0284  1 V 1.64
O 0.6687 0.9909 0.0650  1 P 1.57
O 0.7264 0.9343 0.8084  1 P 1.54
O 0.7736 0.0657 0.3084  1 P 1.54
O 0.8313 0.0091 0.5650  1 P 1.57
O 0.8583 0.4205 0.5284  1 V 1.64
O 0.9182 0.2341 0.1003  1 P 1.58
O 0.9793 0.7277 0.6831  1 P 1.54

---

b.
Material: LiVPO5
Method: DFT, PBE with a Hubbard U
State: relaxed

The crystal system is monoclinic.

a = 6.2226 Å, b = 5.3523 Å, c = 8.8338 Å
α = 90.00°, β = 134.70°, γ = 90.00°
Closest atoms and distances in Å follow each position.
Sites, in units of the cell vectors:
Li 0.0000 0.0510 0.0000  4 O 1.97-2.12
Li 0.0000 0.9490 0.5000  4 O 1.97-2.12
V 0.6210 0.2497 0.1346  1 O 1.65
V 0.6210 0.7503 0.6346  1 O 1.65
P 0.1213 0.4897 0.6371  4 O 1.53-1.55
P 0.1213 0.5103 0.1371  4 O 1.53-1.55
O 0.2737 0.3240 0.8310  1 P 1.53
O 0.2737 0.6760 0.3310  1 P 1.53
O 0.3381 0.3255 0.1644  1 P 1.55
O 0.3381 0.6745 0.6644  1 P 1.55
O 0.6503 0.0562 0.6621  1 V 1.65
O 0.6503 0.9438 0.1621  1 V 1.65
O 0.8791 0.3335 0.0858  1 P 1.55
O 0.8791 0.6665 0.5858  1 P 1.55
O 0.9722 0.3109 0.4473  1 P 1.55
O 0.9722 0.6891 0.9473  1 P 1.55

---

c.
Material: LiVPO5
Method: DFT, PBE with a Hubbard U
State: relaxed

The crystal system is orthorhombic.

a = 7.7619 Å, b = 5.9923 Å, c = 7.7923 Å
α = 90.00°, β = 90.00°, γ = 90.00°
Closest atoms and distances in Å follow each position.
Sites, in units of the cell vectors:
Li 0.1325 0.2500 0.1558  3 O 1.84-2.00
Li 0.3675 0.7500 0.6558  3 O 1.84-2.00
Li 0.6325 0.2500 0.3442  3 O 1.84-2.00
Li 0.8675 0.7500 0.8442  3 O 1.84-2.00
V 0.0000 0.0000 0.5000  6 O 1.86-2.08
V 0.0000 0.5000 0.5000  6 O 1.86-2.08
V 0.5000 0.0000 0.0000  6 O 1.86-2.08
V 0.5000 0.5000 0.0000  6 O 1.86-2.08
P 0.1455 0.7500 0.1680  4 O 1.48-1.61
P 0.3545 0.2500 0.6680  4 O 1.48-1.61
P 0.6455 0.7500 0.3320  4 O 1.48-1.61
P 0.8545 0.2500 0.8320  4 O 1.48-1.61
O 0.0169 0.7500 0.0274  1 P 1.48
O 0.1088 0.7500 0.5909  2 V 1.86, 1 Li 2.07
O 0.1390 0.5376 0.2854  1 P 1.57
O 0.1390 0.9624 0.2854  1 P 1.57
O 0.1618 0.2500 0.5901  1 P 1.61
O 0.3382 0.7500 0.0901  1 P 1.61
O 0.3610 0.0376 0.7854  1 P 1.57
O 0.3610 0.4624 0.7854  1 P 1.57
O 0.3912 0.2500 0.0909  2 V 1.86, 1 Li 2.07
O 0.4831 0.2500 0.5274  1 P 1.48
O 0.5169 0.7500 0.4726  1 P 1.48
O 0.6088 0.7500 0.9091  2 V 1.86, 1 Li 2.07
O 0.6390 0.5376 0.2146  1 P 1.57
O 0.6390 0.9624 0.2146  1 P 1.57
O 0.6618 0.2500 0.9099  1 P 1.61
O 0.8382 0.7500 0.4099  1 P 1.61
O 0.8610 0.0376 0.7146  1 P 1.57
O 0.8610 0.4624 0.7146  1 P 1.57
O 0.8912 0.2500 0.4091  2 V 1.86, 1 Li 2.07
O 0.9831 0.2500 0.9726  1 P 1.48

---

d.
Material: LiVPO5
Method: DFT, PBE with a Hubbard U
State: relaxed

The crystal system is monoclinic.

a = 7.3671 Å, b = 7.3671 Å, c = 10.5707 Å
α = 112.90°, β = 112.90°, γ = 42.03°
Closest atoms and distances in Å follow each position.
Sites, in units of the cell vectors:
Li 0.0000 0.0000 0.0000  4 O 2.01-2.07
Li 0.0000 0.0000 0.5000  4 O 2.01-2.07
Li 0.0000 0.5000 0.0000  4 O 1.99-2.14
Li 0.5000 0.0000 0.5000  4 O 1.99-2.14
V 0.0000 0.5000 0.5000  6 O 1.87-2.01
V 0.0237 0.9763 0.7500  6 O 1.87-2.01
V 0.5000 0.0000 0.0000  6 O 1.87-2.01
V 0.9763 0.0237 0.2500  6 O 1.87-2.01
P 0.3599 0.3919 0.3116  4 O 1.54-1.55
P 0.3919 0.3599 0.8116  4 O 1.54-1.55
P 0.6081 0.6401 0.1884  4 O 1.54-1.55
P 0.6401 0.6081 0.6884  4 O 1.54-1.55
O 0.0754 0.1790 0.4110  2 V 1.87
O 0.1790 0.0754 0.9110  2 V 1.87
O 0.1804 0.7053 0.3363  1 P 1.55
O 0.2218 0.6702 0.8478  1 P 1.54
O 0.2932 0.2997 0.1560  1 P 1.55
O 0.2947 0.8196 0.1637  1 P 1.55
O 0.2988 0.3395 0.4107  1 P 1.55
O 0.2997 0.2932 0.6560  1 P 1.55
O 0.3298 0.7782 0.6522  1 P 1.54
O 0.3395 0.2988 0.9107  1 P 1.55
O 0.6605 0.7012 0.0893  1 P 1.55
O 0.6702 0.2218 0.3478  1 P 1.54
O 0.7003 0.7068 0.3440  1 P 1.55
O 0.7012 0.6605 0.5893  1 P 1.55
O 0.7053 0.1804 0.8363  1 P 1.55
O 0.7068 0.7003 0.8440  1 P 1.55
O 0.7782 0.3298 0.1522  1 P 1.54
O 0.8196 0.2947 0.6637  1 P 1.55
O 0.8210 0.9246 0.0890  2 V 1.87
O 0.9246 0.8210 0.5890  2 V 1.87

---

The structure shown above that is most stable: d.